[1]
Below is a geometry-optimized Hg2AsPO structure, with properties calculated at the PBE level.

Cell lengths 5.3830, 5.3830, 3.3843 Å; angles 90.00, 90.00, 90.00 degrees
Atoms (fractional coordinates):
Hg 0.0000 0.5000 0.0000
Hg 0.5000 0.0000 0.0000
As 0.0000 0.0000 0.5000
P 0.5000 0.5000 0.0000
O 0.5000 0.5000 0.5000

Summary:
SG   No. 123
ρ   8.86 g cm⁻³

[2]
Below is a geometry-optimized NaSiBi2H structure, with properties calculated at the PBE level.

Cell lengths 4.9246, 4.9246, 4.4855 Å; angles 90.00, 90.00, 90.00 degrees
Atoms (fractional coordinates):
Na 0.0000 0.0000 0.0000
Si 0.5000 0.5000 0.0000
Bi 0.0000 0.5000 0.5000
Bi 0.5000 0.0000 0.5000
H 0.0000 0.0000 0.5000

Summary:
SG   No. 123
ρ   7.18 g cm⁻³

[3]
Below is a geometry-optimized KNa12Bi4 structure, with properties calculated at the PBE level.

Cell lengths 10.5778, 10.5778, 10.5778 Å; angles 109.47, 109.47, 109.47 degrees
Atoms (fractional coordinates):
K 0.0000 0.0000 0.0000
Na 0.0286 0.7603 0.2683
Na 0.2397 0.2683 0.5079
Na 0.2397 0.7317 0.9714
Na 0.2683 0.0286 0.7603
Na 0.2683 0.5079 0.2397
Na 0.4921 0.7603 0.7317
Na 0.5079 0.2397 0.2683
Na 0.7317 0.4921 0.7603
Na 0.7317 0.9714 0.2397
Na 0.7603 0.2683 0.0286
Na 0.7603 0.7317 0.4921
Na 0.9714 0.2397 0.7317
Bi 0.0000 0.0000 0.5000
Bi 0.0000 0.5000 0.0000
Bi 0.5000 0.0000 0.0000
Bi 0.5000 0.5000 0.5000

Summary:
Calculated formation energy   -0.195 eV per atom
SG   No. 204
ρ   2.10 g cm⁻³

[4]
Below is a geometry-optimized Tm4Cd2O structure, with properties calculated at the PBE level.

Cell lengths 4.6677, 4.6677, 15.1507 Å; angles 90.00, 90.00, 90.00 degrees
Atoms (fractional coordinates):
Tm 0.0000 0.0000 0.1731
Tm 0.0000 0.0000 0.8269
Tm 0.0000 0.5000 0.0000
Tm 0.0000 0.5000 0.5000
Tm 0.5000 0.0000 0.0000
Tm 0.5000 0.0000 0.5000
Tm 0.5000 0.5000 0.3269
Tm 0.5000 0.5000 0.6731
Cd 0.0000 0.0000 0.3682
Cd 0.0000 0.0000 0.6318
Cd 0.5000 0.5000 0.1318
Cd 0.5000 0.5000 0.8682
O 0.0000 0.0000 0.0000
O 0.5000 0.5000 0.5000

Summary:
SG   No. 139
ρ   9.22 g cm⁻³

[5]
Below is a geometry-optimized TmNi3Ge3 structure, with properties calculated at the PBE level.

Cell lengths 8.1242, 8.1242, 4.0610 Å; angles 90.00, 90.00, 120.00 degrees
Atoms (fractional coordinates):
Tm 0.3333 0.6667 0.2500
Tm 0.6667 0.3333 0.7500
Ni 0.0695 0.2171 0.2500
Ni 0.1476 0.9305 0.2500
Ni 0.2171 0.1476 0.7500
Ni 0.7829 0.8524 0.2500
Ni 0.8524 0.0695 0.7500
Ni 0.9305 0.7829 0.7500
Ge 0.1034 0.3857 0.7500
Ge 0.2823 0.8966 0.7500
Ge 0.3857 0.2823 0.2500
Ge 0.6143 0.7177 0.7500
Ge 0.7177 0.1034 0.2500
Ge 0.8966 0.6143 0.2500

Summary:
Calculated formation energy   -0.375 eV per atom
SG   No. 176
ρ   8.05 g cm⁻³

[6]
Below is a geometry-optimized Cu3TcP structure, with properties calculated at the PBE level.

Cell lengths 4.5944, 4.5944, 4.5944 Å; angles 90.00, 90.00, 90.00 degrees
Atoms (fractional coordinates):
Cu 0.0000 0.0000 0.5000
Cu 0.0000 0.5000 0.0000
Cu 0.5000 0.0000 0.0000
Tc 0.0000 0.0000 0.0000
P 0.5000 0.5000 0.5000

Summary:
Calculated formation energy   1.681 eV per atom
SG   No. 221
ρ   5.47 g cm⁻³

[7]
Below is a geometry-optimized Pm3Zr2UN6 structure, with properties calculated at the PBE level.

Cell lengths 5.9225, 5.9225, 6.0450 Å; angles 99.32, 99.32, 120.05 degrees
Atoms (fractional coordinates):
Pm 0.0000 0.0000 0.0000
Pm 0.3308 0.6692 0.0000
Pm 0.6692 0.3308 0.0000
Zr 0.1666 0.8334 0.5000
Zr 0.8334 0.1666 0.5000
U 0.5000 0.5000 0.5000
N 0.1024 0.4286 0.2854
N 0.2454 0.2454 0.7122
N 0.4286 0.1024 0.2854
N 0.5714 0.8976 0.7146
N 0.7546 0.7546 0.2878
N 0.8976 0.5714 0.7146

Summary:
SG   No. 12
ρ   8.99 g cm⁻³

[8]
Below is a geometry-optimized PmTmCo structure, with properties calculated at the PBE level.

Cell lengths 3.9089, 3.9089, 6.1595 Å; angles 90.00, 90.00, 120.00 degrees
Atoms (fractional coordinates):
Pm 0.0000 0.0000 0.0000
Tm 0.6667 0.3333 0.5352
Co 0.3333 0.6667 0.7589

Summary:
Calculated formation energy   -0.030 eV per atom
SG   No. 156
ρ   7.60 g cm⁻³

[9]
Below is a geometry-optimized LiNi2Br structure, with properties calculated at the PBE level.

Cell lengths 3.0072, 5.1167, 8.1356 Å; angles 90.00, 90.00, 90.00 degrees
Atoms (fractional coordinates):
Li 0.0000 0.0000 0.0000
Li 0.5000 0.5000 0.0000
Ni 0.0000 0.5000 0.2540
Ni 0.0000 0.5000 0.7460
Ni 0.5000 0.0000 0.2540
Ni 0.5000 0.0000 0.7460
Br 0.0000 0.0000 0.5000
Br 0.5000 0.5000 0.5000

Summary:
SG   No. 65
ρ   5.42 g cm⁻³

[10]
Below is a geometry-optimized LiAlPt6 structure, with properties calculated at the PBE level.

Cell lengths 3.9188, 3.9188, 7.7410 Å; angles 90.00, 90.00, 90.00 degrees
Atoms (fractional coordinates):
Li 0.0000 0.0000 0.0000
Al 0.0000 0.0000 0.5000
Pt 0.0000 0.5000 0.2504
Pt 0.0000 0.5000 0.7496
Pt 0.5000 0.0000 0.2504
Pt 0.5000 0.0000 0.7496
Pt 0.5000 0.5000 0.0000
Pt 0.5000 0.5000 0.5000

Summary:
Calculated formation energy   -0.540 eV per atom
SG   No. 123
ρ   16.82 g cm⁻³

[11]
Below is a geometry-optimized Pm5InTe4 structure, with properties calculated at the PBE level.

Cell lengths 7.7617, 7.7617, 7.7617 Å; angles 99.54, 99.54, 131.95 degrees
Atoms (fractional coordinates):
Pm 0.0000 0.0000 0.0000
Pm 0.2049 0.4020 0.6069
Pm 0.4020 0.7951 0.1972
Pm 0.5980 0.2049 0.8028
Pm 0.7951 0.5980 0.3931
In 0.5000 0.5000 0.0000
Te 0.0980 0.6992 0.7971
Te 0.3008 0.0980 0.3988
Te 0.6992 0.9020 0.6012
Te 0.9020 0.3008 0.2029

Summary:
SG   No. 87
ρ   7.06 g cm⁻³

[12]
Below is a geometry-optimized FeC2S structure, with properties calculated at the PBE level.

Cell lengths 4.3967, 4.3967, 7.9923 Å; angles 90.00, 90.00, 90.00 degrees
Atoms (fractional coordinates):
Fe 0.0000 0.0000 0.0000
Fe 0.0000 0.5000 0.2500
Fe 0.5000 0.0000 0.7500
Fe 0.5000 0.5000 0.5000
C 0.2260 0.2500 0.6250
C 0.2500 0.7260 0.8750
C 0.2500 0.7740 0.3750
C 0.2740 0.2500 0.1250
C 0.7260 0.7500 0.1250
C 0.7500 0.2260 0.3750
C 0.7500 0.2740 0.8750
C 0.7740 0.7500 0.6250
S 0.0000 0.0000 0.5000
S 0.0000 0.5000 0.7500
S 0.5000 0.0000 0.2500
S 0.5000 0.5000 0.0000

Summary:
SG   No. 122
ρ   4.81 g cm⁻³

Number 1: spin magnetization 0.0 μB/cell, final energy -3.12 eV/atom. Number 2: spin magnetization 0.0 μB/cell, final energy -3.24 eV/atom. Number 3: spin magnetization 0.0 μB/cell, final energy -2.10 eV/atom. Number 4: spin magnetization 0.0 μB/cell, final energy -4.45 eV/atom. Number 5: spin magnetization 0.0 μB/cell, final energy -5.47 eV/atom. Number 6: spin magnetization 0.0 μB/cell, final energy -3.93 eV/atom. Number 7: spin magnetization 0.0 μB/cell, final energy -9.29 eV/atom. Number 8: spin magnetization 0.0 μB/cell, final energy -5.47 eV/atom. Number 9: spin magnetization 1.7 μB/cell, final energy -3.22 eV/atom. Number 10: spin magnetization 0.0 μB/cell, final energy -5.78 eV/atom. Number 11: spin magnetization 0.0 μB/cell, final energy -5.15 eV/atom. Number 12: spin magnetization 0.0 μB/cell, final energy -6.75 eV/atom.